Entry from the Alexandria database: a crystal of CaScRe2Ni relaxed with PBEsol (SCAN).

Computed properties:
N(E_F) (states/eV/atom): 1.23
Density (g/cm³): 8.83
DFT formation energy (eV/atom): 1.000
M_tot (μB/cell): 0.00

Cell: 4.534 4.534 4.723 Å, 90.00 90.00 90.00°
Atoms (fractional coordinates):
Re1 0.500 0.000 0.000
Re2 0.000 0.500 0.000
Ca1 0.000 0.000 0.500
Sc1 0.500 0.500 0.500
Ni1 0.000 0.000 0.000

=====

Entry from the Alexandria database: a crystal of Y2MgZn relaxed with PBEsol (SCAN).

Computed properties:
N(E_F) (states/eV/atom): 1.05
Density (g/cm³): 4.65
DFT formation energy (eV/atom): -0.236
M_tot (μB/cell): 0.11

Cell: 5.130 5.130 5.130 Å, 60.00 60.00 60.00°
Atoms (fractional coordinates):
Y1 0.250 0.250 0.250
Y2 0.750 0.750 0.750
Zn1 0.500 0.500 0.500
Mg1 0.000 0.000 0.000